(1)
Density functional theory data (PBE-GGA) for a geometry-optimized La2MgRh2 structure.

Spin magnetization   0.00 μB/cell
Formation energy   -272 meV per atom
Theoretical density   6.21 g cm⁻³
Final energy   -5.50 eV/atom

Geometry as POSCAR:
```
La2MgRh2
1.0
4.095 0.000 0.000
0.000 4.095 0.000
0.000 0.000 16.197
La Mg Rh
4 2 4
Direct
0.000 0.000 0.131
0.000 0.000 0.869
0.500 0.500 0.369
0.500 0.500 0.631
0.000 0.000 0.500
0.500 0.500 0.000
0.000 0.500 0.250
0.000 0.500 0.750
0.500 0.000 0.250
0.500 0.000 0.750
```

(2)
Density functional theory data (PBE-GGA) for a geometry-optimized Pr5HoSi4 structure.

Spin magnetization   0.00 μB/cell
Raw formation energy   -45.5 kJ per mole of atoms
Theoretical density   5.82 g cm⁻³
Final energy   -5.49 eV/atom

Geometry as POSCAR:
```
Pr5HoSi4
1.0
7.894 -2.541 0.000
7.894 2.541 0.000
-0.144 0.000 6.980
Pr Ho Si
5 1 4
Direct
0.000 0.000 0.000
0.333 0.333 0.491
0.336 0.336 0.000
0.664 0.664 0.000
0.667 0.667 0.509
0.000 0.000 0.500
0.174 0.174 0.750
0.492 0.492 0.735
0.508 0.508 0.265
0.826 0.826 0.250
```

(3)
Density functional theory data (PBE-GGA) for a geometry-optimized YPaSnAu structure.

Spin magnetization   9.64 μB/cell
Formation energy   -346 meV per atom
Theoretical density   10.34 g cm⁻³
Final energy   -6.16 eV/atom

Geometry as POSCAR:
```
YPaSnAu
1.0
7.420 0.000 0.000
0.000 7.420 0.000
0.000 0.000 7.420
Y Pa Sn Au
4 4 4 4
Direct
0.000 0.000 0.000
0.000 0.500 0.500
0.500 0.000 0.500
0.500 0.500 0.000
0.000 0.000 0.500
0.000 0.500 0.000
0.500 0.000 0.000
0.500 0.500 0.500
0.250 0.250 0.250
0.250 0.750 0.750
0.750 0.250 0.750
0.750 0.750 0.250
0.250 0.250 0.750
0.250 0.750 0.250
0.750 0.250 0.250
0.750 0.750 0.750
```

(4)
Density functional theory data (PBE-GGA) for a geometry-optimized Ti2CoB2 structure.

Spin magnetization   0.00 μB/cell
Formation energy   -764 meV per atom
Theoretical density   5.66 g cm⁻³
Final energy   -8.01 eV/atom

Geometry as POSCAR:
```
Ti2CoB2
1.0
5.595 0.000 0.000
0.000 5.595 0.000
0.000 0.000 3.305
Ti Co B
4 2 4
Direct
0.178 0.322 0.000
0.322 0.822 0.000
0.678 0.178 0.000
0.822 0.678 0.000
0.000 0.000 0.500
0.500 0.500 0.500
0.115 0.615 0.500
0.385 0.115 0.500
0.615 0.885 0.500
0.885 0.385 0.500
```

(5)
Density functional theory data (PBE-GGA) for a geometry-optimized AlTe2Cl structure.

Spin magnetization   0.00 μB/cell
Raw formation energy   -9.5 kJ per mole of atoms
Theoretical density   4.80 g cm⁻³
Final energy   -3.07 eV/atom

Geometry as POSCAR:
```
AlTe2Cl
1.0
3.683 0.000 0.000
0.000 5.484 0.000
0.000 0.000 10.873
Al Te Cl
2 4 2
Direct
0.000 0.000 0.000
0.500 0.500 0.000
0.000 0.000 0.491
0.000 0.500 0.185
0.500 0.000 0.185
0.500 0.500 0.491
0.000 0.500 0.846
0.500 0.000 0.846
```

(6)
Density functional theory data (PBE-GGA) for a geometry-optimized Tl2SbBr structure.

Spin magnetization   0.00 μB/cell
Raw formation energy   -3.5 kJ per mole of atoms
Theoretical density   8.43 g cm⁻³
Final energy   -2.67 eV/atom

Geometry as POSCAR:
```
Tl2SbBr
1.0
7.834 0.000 0.000
0.000 7.834 0.000
0.000 0.000 7.834
Tl Sb Br
8 4 4
Direct
0.000 0.000 0.000
0.000 0.500 0.500
0.250 0.250 0.250
0.250 0.750 0.750
0.500 0.000 0.500
0.500 0.500 0.000
0.750 0.250 0.750
0.750 0.750 0.250
0.250 0.250 0.750
0.250 0.750 0.250
0.750 0.250 0.250
0.750 0.750 0.750
0.000 0.000 0.500
0.000 0.500 0.000
0.500 0.000 0.000
0.500 0.500 0.500
```

(7)
Density functional theory data (PBE-GGA) for a geometry-optimized Pm2Ho9Tm structure.

Spin magnetization   0.01 μB/cell
Formation energy   70 meV per atom
Theoretical density   8.54 g cm⁻³
Final energy   -4.53 eV/atom

Geometry as POSCAR:
```
Pm2Ho9Tm
1.0
11.196 0.000 0.000
-5.598 9.696 0.000
0.000 0.000 3.483
Pm Ho Tm
2 9 1
Direct
0.333 0.667 0.000
0.667 0.333 0.000
0.000 0.500 0.000
0.174 0.347 0.500
0.174 0.826 0.500
0.347 0.174 0.500
0.500 0.000 0.000
0.500 0.500 0.000
0.653 0.826 0.500
0.826 0.174 0.500
0.826 0.653 0.500
0.000 0.000 0.000
```

(8)
Density functional theory data (PBE-GGA) for a geometry-optimized UMnAs structure.

Spin magnetization   0.63 μB/cell
Formation energy   35 meV per atom
Theoretical density   10.76 g cm⁻³
Final energy   -8.33 eV/atom

Geometry as POSCAR:
```
UMnAs
1.0
3.570 0.000 0.000
0.000 3.570 0.000
0.000 0.000 8.907
U Mn As
2 2 2
Direct
0.000 0.000 0.000
0.500 0.500 0.500
0.000 0.000 0.573
0.500 0.500 0.073
0.000 0.000 0.308
0.500 0.500 0.808
```

(9)
Density functional theory data (PBE-GGA) for a geometry-optimized LaTb3PmPr structure.

Spin magnetization   0.00 μB/cell
Formation energy   170 meV per atom
Theoretical density   7.31 g cm⁻³
Final energy   -4.55 eV/atom

Geometry as POSCAR:
```
LaTb3PmPr
1.0
10.152 -2.848 0.000
10.152 2.848 0.000
-0.020 0.000 7.086
La Tb Pm Pr
2 6 2 2
Direct
0.147 0.147 0.038
0.853 0.853 0.962
0.023 0.023 0.747
0.279 0.279 0.752
0.336 0.336 0.257
0.664 0.664 0.743
0.721 0.721 0.248
0.977 0.977 0.253
0.148 0.148 0.466
0.852 0.852 0.534
0.445 0.445 0.742
0.555 0.555 0.258
```

(10)
Density functional theory data (PBE-GGA) for a geometry-optimized Pr2CdIn2Pd5 structure.

Spin magnetization   0.00 μB/cell
Formation energy   -502 meV per atom
Theoretical density   9.08 g cm⁻³
Final energy   -4.69 eV/atom

Geometry as POSCAR:
```
Pr2CdIn2Pd5
1.0
10.829 0.000 0.000
0.000 10.829 0.000
0.000 0.000 3.606
Pr Cd In Pd
4 2 4 10
Direct
0.171 0.329 0.000
0.329 0.829 0.000
0.671 0.171 0.000
0.829 0.671 0.000
0.000 0.000 0.000
0.500 0.500 0.000
0.130 0.630 0.000
0.370 0.130 0.000
0.630 0.870 0.000
0.870 0.370 0.000
0.000 0.500 0.500
0.041 0.801 0.500
0.199 0.041 0.500
0.301 0.541 0.500
0.459 0.301 0.500
0.500 0.000 0.500
0.541 0.699 0.500
0.699 0.459 0.500
0.801 0.959 0.500
0.959 0.199 0.500
```

(11)
Density functional theory data (PBE-GGA) for a geometry-optimized BaSc2Ru structure.

Spin magnetization   0.00 μB/cell
Formation energy   22 meV per atom
Theoretical density   4.88 g cm⁻³
Final energy   -5.94 eV/atom

Geometry as POSCAR:
```
BaSc2Ru
1.0
3.549 0.000 0.000
0.000 3.876 0.000
0.000 0.000 8.115
Ba Sc Ru
1 2 1
Direct
0.000 0.000 0.000
0.000 0.000 0.409
0.500 0.500 0.633
0.500 0.500 0.326
```

(12)
Density functional theory data (PBE-GGA) for a geometry-optimized Ba2TaIn structure.

Spin magnetization   3.16 μB/cell
Formation energy   732 meV per atom
Theoretical density   6.60 g cm⁻³
Final energy   -3.88 eV/atom

Geometry as POSCAR:
```
Ba2TaIn
1.0
5.767 0.000 0.000
0.000 5.767 0.000
0.000 0.000 4.315
Ba Ta In
2 1 1
Direct
0.000 0.500 0.000
0.500 0.000 0.000
0.000 0.000 0.500
0.500 0.500 0.500
```